[1]
Material: Na3Tm2TcO6
Method: DFT, GGA-PBE
State: optimized geometry

## Properties
- N(E_F): 0.19 states/eV/atom
- Final energy: -6.713 eV/atom
- Uncorrected formation energy: -2.295 eV/atom
- Space-group type: C2/m (12)
- Crystal system: monoclinic

a = 5.609 Å, b = 5.609 Å, c = 5.872 Å
α = 99.12°, β = 99.12°, γ = 119.02°
Positions (direct):
Na 0.000 0.000 0.000
Na 0.339 0.661 0.000
Na 0.661 0.339 0.000
Tm 0.172 0.828 0.500
Tm 0.828 0.172 0.500
Tc 0.500 0.500 0.500
O 0.097 0.422 0.282
O 0.254 0.254 0.702
O 0.422 0.097 0.282
O 0.578 0.903 0.718
O 0.746 0.746 0.298
O 0.903 0.578 0.718

***

[2]
Material: PrInNiAg
Method: DFT, GGA-PBE
State: optimized geometry

## Properties
- N(E_F): 1.10 states/eV/atom
- Final energy: -4.264 eV/atom
- Space-group type: F-43m (216)
- Crystal system: cubic
- Calculated formation energy: -227 meV per atom

a = 4.926 Å, b = 4.926 Å, c = 4.926 Å
α = 60.00°, β = 60.00°, γ = 60.00°
Positions (direct):
Pr 0.000 0.000 0.000
In 0.500 0.500 0.500
Ni 0.750 0.750 0.750
Ag 0.250 0.250 0.250

***

[3]
Material: CrOs2W
Method: DFT, GGA-PBE
State: optimized geometry

## Properties
- N(E_F): 1.23 states/eV/atom
- Final energy: -10.911 eV/atom
- Space-group type: Pmmm (47)
- Crystal system: orthorhombic
- Relative energy among the computed polymorphs: 257 meV/atom
- Calculated formation energy: 348 meV per atom

a = 2.952 Å, b = 4.389 Å, c = 4.447 Å
α = 90.00°, β = 90.00°, γ = 90.00°
Positions (direct):
Cr 0.000 0.000 0.000
Os 0.000 0.500 0.500
Os 0.500 0.500 0.000
W 0.500 0.000 0.500

***

[4]
Material: Mn3Al5
Method: DFT, GGA-PBE
State: optimized geometry

## Properties
- N(E_F): 0.70 states/eV/atom
- Final energy: -5.868 eV/atom
- Space-group type: P6_3/mcm (193)
- Crystal system: hexagonal
- Calculated formation energy: -90 meV per atom

a = 7.259 Å, b = 7.259 Å, c = 5.078 Å
α = 90.00°, β = 90.00°, γ = 120.00°
Positions (direct):
Mn 0.000 0.403 0.250
Mn 0.000 0.597 0.750
Mn 0.403 0.000 0.250
Mn 0.403 0.403 0.750
Mn 0.597 0.000 0.750
Mn 0.597 0.597 0.250
Al 0.000 0.236 0.750
Al 0.000 0.764 0.250
Al 0.236 0.000 0.750
Al 0.236 0.236 0.250
Al 0.333 0.667 0.000
Al 0.333 0.667 0.500
Al 0.667 0.333 0.000
Al 0.667 0.333 0.500
Al 0.764 0.000 0.250
Al 0.764 0.764 0.750

***

[5]
Material: Rb3Ga2Bi4
Method: DFT, GGA-PBE
State: optimized geometry

## Properties
- N(E_F): 0.39 states/eV/atom
- Final energy: -2.944 eV/atom
- Space-group type: C2/c (15)
- Crystal system: monoclinic
- Calculated formation energy: -224 meV per atom

a = 9.785 Å, b = 9.785 Å, c = 8.426 Å
α = 101.74°, β = 101.74°, γ = 80.00°
Positions (direct):
Rb 0.092 0.908 0.750
Rb 0.246 0.491 0.421
Rb 0.491 0.246 0.921
Rb 0.509 0.754 0.079
Rb 0.754 0.509 0.579
Rb 0.908 0.092 0.250
Ga 0.094 0.315 0.013
Ga 0.315 0.094 0.513
Ga 0.685 0.906 0.487
Ga 0.906 0.685 0.987
Bi 0.101 0.282 0.668
Bi 0.180 0.551 0.924
Bi 0.282 0.101 0.168
Bi 0.449 0.820 0.576
Bi 0.551 0.180 0.424
Bi 0.718 0.899 0.832
Bi 0.820 0.449 0.076
Bi 0.899 0.718 0.332

***

[6]
Material: Be2SiSb
Method: DFT, GGA-PBE
State: optimized geometry

## Properties
- N(E_F): 0.36 states/eV/atom
- Final energy: -3.612 eV/atom
- Uncorrected formation energy: 0.637 eV/atom
- Space-group type: Immm (71)
- Crystal system: orthorhombic
- Relative energy among the computed polymorphs: 318 meV/atom

a = 4.660 Å, b = 4.660 Å, c = 4.660 Å
α = 134.65°, β = 117.57°, γ = 80.47°
Positions (direct):
Be 0.220 0.220 0.000
Be 0.780 0.780 0.000
Si 0.000 0.500 0.500
Sb 0.500 0.000 0.500

***

[7]
Material: PaCuSbAs
Method: DFT, GGA-PBE
State: optimized geometry

## Properties
- N(E_F): 0.69 states/eV/atom
- Final energy: -6.074 eV/atom
- Uncorrected formation energy: -0.483 eV/atom
- Space-group type: P4/nmm (129)
- Crystal system: tetragonal

a = 4.284 Å, b = 4.284 Å, c = 9.157 Å
α = 90.00°, β = 90.00°, γ = 90.00°
Positions (direct):
Pa 0.250 0.250 0.220
Pa 0.750 0.750 0.780
Cu 0.250 0.750 0.500
Cu 0.750 0.250 0.500
Sb 0.250 0.250 0.674
Sb 0.750 0.750 0.326
As 0.250 0.750 0.000
As 0.750 0.250 0.000

***

[8]
Material: Sm6As2HS3
Method: DFT, GGA-PBE
State: optimized geometry

## Properties
- N(E_F): 0.43 states/eV/atom
- Final energy: -5.997 eV/atom
- Space-group type: C2/m (12)
- Crystal system: monoclinic

a = 9.054 Å, b = 9.054 Å, c = 8.059 Å
α = 103.70°, β = 103.70°, γ = 26.13°
Positions (direct):
Sm 0.004 0.004 0.243
Sm 0.332 0.332 0.421
Sm 0.333 0.333 0.915
Sm 0.667 0.667 0.085
Sm 0.668 0.668 0.579
Sm 0.996 0.996 0.757
As 0.163 0.163 0.827
As 0.837 0.837 0.173
H 0.500 0.500 0.500
S 0.169 0.169 0.335
S 0.500 0.500 0.000
S 0.831 0.831 0.665

***

no.,size of the total moment (Bohr magnetons per cell)
1,2.0
2,0.0
3,0.0
4,14.9
5,0.0
6,0.0
7,0.0
8,0.0